No. 1
HfMoSe | Alexandria | PBE | optimized geometry; excess energy over the best structure of this formula in the dataset = 0.356 eV/atom; Fermi-level density of states = 0.84 states/eV/f.u.; ΔE_f (raw) = -359 meV per atom; size of the total moment = 0.0 μB/cell
1.0
6.504 0.000 0.003
0.000 3.370 0.000
-2.279 0.000 5.064
Mo Hf Se
2 2 2
Direct
0.965 0.500 0.443
0.965 0.000 0.943
0.598 0.500 0.745
0.598 0.000 0.245
0.257 0.500 0.918
0.257 0.000 0.418


No. 2
HfMoSe2 | Alexandria | PBE | optimized geometry; excess energy over the best structure of this formula in the dataset = 0.137 eV/atom; Fermi-level density of states = 2.55 states/eV/f.u.; ΔE_f (raw) = -221 meV per atom; size of the total moment = 0.0 μB/cell
1.0
6.122 -3.854 5.545
5.648 -6.256 3.471
7.743 -3.928 2.777
Se Hf Mo
2 1 1
Direct
0.100 0.100 0.100
0.900 0.900 0.900
0.000 0.000 0.000
0.500 0.500 0.500


No. 3
HfMoSe | Alexandria | PBE | optimized geometry; excess energy over the best structure of this formula in the dataset = 0.344 eV/atom; Fermi-level density of states = 1.11 states/eV/f.u.; ΔE_f (raw) = -371 meV per atom; size of the total moment = 0.0 μB/cell
1.0
-2.752 2.221 -1.541
0.005 -1.994 -2.884
-11.626 -9.745 6.718
Mo Se Hf
4 4 4
Direct
0.000 0.500 0.009
0.500 0.500 0.512
0.000 0.000 0.509
0.500 0.000 0.012
0.000 0.000 0.807
0.500 0.500 0.137
0.500 0.000 0.637
0.000 0.500 0.307
0.000 0.000 0.177
0.500 0.500 0.868
0.000 0.500 0.677
0.500 0.000 0.368


No. 4
HfMoSe | Alexandria | PBE | optimized geometry; excess energy over the best structure of this formula in the dataset = 0.281 eV/atom; Fermi-level density of states = 1.72 states/eV/f.u.; ΔE_f (raw) = -434 meV per atom; size of the total moment = 0.0 μB/cell
1.0
-4.720 5.183 2.051
-1.834 -2.286 1.557
6.356 -0.145 7.272
Se Mo Hf
4 4 4
Direct
0.344 0.500 0.828
0.344 0.000 0.328
0.656 0.500 0.172
0.656 0.000 0.672
0.924 0.000 0.139
0.076 0.500 0.361
0.076 0.000 0.861
0.924 0.500 0.639
0.247 0.500 0.091
0.753 0.500 0.909
0.247 0.000 0.591
0.753 0.000 0.409


No. 5
HfMoSe2 | Alexandria | PBE | optimized geometry; excess energy over the best structure of this formula in the dataset = 0.244 eV/atom; Fermi-level density of states = 3.15 states/eV/f.u.; ΔE_f (raw) = -114 meV per atom; size of the total moment = 1.5 μB/cell
1.0
-4.358 -1.870 -0.132
1.747 -3.930 -2.004
-0.194 -5.989 5.960
Se Mo Hf
4 2 2
Direct
0.151 0.625 0.250
0.375 0.401 0.750
0.875 0.849 0.750
0.599 0.125 0.250
0.250 0.750 0.500
0.500 0.500 0.000
0.000 0.000 0.000
0.750 0.250 0.500


No. 6
HfSnMoSe2 | Alexandria | PBE | optimized geometry; Fermi-level density of states = 3.57 states/eV/f.u.; ΔE_f (raw) = 595 meV per atom; size of the total moment = 4.1 μB/cell
1.0
5.081 0.000 0.000
0.000 5.650 0.000
0.000 0.000 5.081
Hf Se Sn Mo
1 2 1 1
Direct
0.000 0.000 0.000
0.000 0.000 0.500
0.500 0.000 0.000
0.000 0.500 0.000
0.500 0.500 0.500